First-principles (PBE+U) data for a geometry-optimized LiFeO2F structure, as listed in the Alexandria database.

Summary:
electronic total energy: -5.376 eV/atom

Cell: 3.733 3.733 4.102 Å, 90.00 90.00 90.00°
Atoms (fractional coordinates):
O 0.000 0.500 0.000
Li 0.500 0.500 0.500
F 0.000 0.000 0.500
O 0.500 0.000 0.000
Fe 0.000 0.000 0.000